The following is a DFT calculation (PBE) of crystalline B7C5 at its relaxed geometry.

The structure in CIF format:
```
data_B7C5
_chemical_formula_sum 'B14 C10'
_cell_length_a 8.557
_cell_length_b 3.729
_cell_length_c 5.351
_cell_angle_alpha 90.00
_cell_angle_beta 103.07
_cell_angle_gamma 90.00
_symmetry_space_group_name_H-M 'C 1 2 1'
_symmetry_Int_Tables_number 5
_symmetry_space_group_name_Hall 'C 2y'
loop_
_atom_site_label
_atom_site_type_symbol
_atom_site_fract_x
_atom_site_fract_y
_atom_site_fract_z
_atom_site_occupancy
B1 B 0.000 0.000 0.000 1
B2 B 0.128 0.498 0.795 1
B3 B 0.179 0.528 0.379 1
B4 B 0.199 0.201 0.030 1
C1 C 0.000 0.994 0.500 1
C2 C 0.020 0.761 0.266 1
C3 C 0.153 0.219 0.582 1
```

E_tot: -7.3146 eV per atom
Total moment: 0.00 μB per formula unit
Crystal system: monoclinic
V: 6.929 Å³ per atom
Theoretical density: 2.711 Mg/m³
Formation energy: 424 meV/atom

The following is a DFT calculation (PBE) of crystalline BC at its relaxed geometry.

The structure in CIF format:
```
data_BC
_chemical_formula_sum 'B3 C3'
_cell_length_a 2.5677
_cell_length_b 2.5677
_cell_length_c 7.0001
_cell_angle_alpha 90.00
_cell_angle_beta 90.00
_cell_angle_gamma 120.00
_symmetry_space_group_name_H-M 'P 3 m 1'
_symmetry_Int_Tables_number 156
_symmetry_space_group_name_Hall 'P 3 -2"'
loop_
_atom_site_label
_atom_site_type_symbol
_atom_site_fract_x
_atom_site_fract_y
_atom_site_fract_z
_atom_site_occupancy
B1 B 0.0000 0.0000 0.0000 1
B2 B 0.3333 0.6667 0.1511 1
B3 B 0.6667 0.3333 0.6808 1
C1 C 0.0000 0.0000 0.7808 1
C2 C 0.3333 0.6667 0.3770 1
C3 C 0.6667 0.3333 0.4497 1
```

E_tot: -7.5619 eV per atom
Total moment: 0.00 μB per formula unit
Crystal system: trigonal
V: 6.662 Å³ per atom
Theoretical density: 2.844 Mg/m³
Formation energy: 389 meV/atom

The following is a DFT calculation (PBE) of crystalline BC at its relaxed geometry.

The structure in CIF format:
```
data_BC
_chemical_formula_sum 'B10 C10'
_cell_length_a 8.682
_cell_length_b 2.469
_cell_length_c 6.568
_cell_angle_alpha 90.00
_cell_angle_beta 110.17
_cell_angle_gamma 90.00
_symmetry_space_group_name_H-M 'C 1 m 1'
_symmetry_Int_Tables_number 8
_symmetry_space_group_name_Hall 'C -2y'
loop_
_atom_site_label
_atom_site_type_symbol
_atom_site_fract_x
_atom_site_fract_y
_atom_site_fract_z
_atom_site_occupancy
B1 B 0.000 0.000 0.000 1
B2 B 0.021 0.000 0.728 1
B3 B 0.059 0.500 0.366 1
B4 B 0.172 0.000 0.568 1
B5 B 0.380 0.000 0.561 1
C1 C 0.097 0.500 0.145 1
C2 C 0.220 0.000 0.830 1
C3 C 0.281 0.500 0.184 1
C4 C 0.300 0.500 0.948 1
C5 C 0.361 0.000 0.310 1
```

E_tot: -7.5734 eV per atom
Total moment: 0.00 μB per formula unit
Crystal system: monoclinic
V: 6.607 Å³ per atom
Theoretical density: 2.868 Mg/m³
Formation energy: 377 meV/atom

The following is a DFT calculation (PBE) of crystalline B3C at its relaxed geometry.

The structure in CIF format:
```
data_B3C
_chemical_formula_sum 'B9 C3'
_cell_length_a 2.7367
_cell_length_b 2.7367
_cell_length_c 16.7481
_cell_angle_alpha 90.00
_cell_angle_beta 90.00
_cell_angle_gamma 120.00
_symmetry_space_group_name_H-M 'P 3 m 1'
_symmetry_Int_Tables_number 156
_symmetry_space_group_name_Hall 'P 3 -2"'
loop_
_atom_site_label
_atom_site_type_symbol
_atom_site_fract_x
_atom_site_fract_y
_atom_site_fract_z
_atom_site_occupancy
B1 B 0.0000 0.0000 0.0000 1
B2 B 0.0000 0.0000 0.0986 1
B3 B 0.0000 0.0000 0.5932 1
B4 B 0.3333 0.6667 0.1589 1
B5 B 0.3333 0.6667 0.2629 1
B6 B 0.3333 0.6667 0.6532 1
B7 B 0.6667 0.3333 0.4924 1
B8 B 0.6667 0.3333 0.7538 1
B9 B 0.6667 0.3333 0.9825 1
C1 C 0.0000 0.0000 0.4998 1
C2 C 0.3333 0.6667 0.7466 1
C3 C 0.6667 0.3333 0.2654 1
```

E_tot: -6.8230 eV per atom
Total moment: 0.00 μB per formula unit
Crystal system: trigonal
V: 9.052 Å³ per atom
Theoretical density: 2.038 Mg/m³
Formation energy: 491 meV/atom

The following is a DFT calculation (PBE) of crystalline B7C5 at its relaxed geometry.

The structure in CIF format:
```
data_B7C5
_chemical_formula_sum 'B14 C10'
_cell_length_a 13.314
_cell_length_b 2.598
_cell_length_c 5.287
_cell_angle_alpha 90.00
_cell_angle_beta 96.45
_cell_angle_gamma 90.00
_symmetry_space_group_name_H-M 'C 1 m 1'
_symmetry_Int_Tables_number 8
_symmetry_space_group_name_Hall 'C -2y'
loop_
_atom_site_label
_atom_site_type_symbol
_atom_site_fract_x
_atom_site_fract_y
_atom_site_fract_z
_atom_site_occupancy
B1 B 0.000 0.000 0.000 1
B2 B 0.018 0.000 0.398 1
B3 B 0.117 0.000 0.925 1
B4 B 0.175 0.500 0.211 1
B5 B 0.205 0.500 0.881 1
B6 B 0.305 0.500 0.721 1
B7 B 0.428 0.000 0.455 1
C1 C 0.109 0.000 0.245 1
C2 C 0.290 0.500 0.157 1
C3 C 0.353 0.000 0.182 1
C4 C 0.370 0.000 0.699 1
C5 C 0.427 0.000 0.971 1
```

E_tot: -7.3251 eV per atom
Total moment: 0.00 μB per formula unit
Crystal system: monoclinic
V: 7.572 Å³ per atom
Theoretical density: 2.480 Mg/m³
Formation energy: 413 meV/atom

The following is a DFT calculation (PBE) of crystalline BC at its relaxed geometry.

The structure in CIF format:
```
data_BC
_chemical_formula_sum 'B6 C6'
_cell_length_a 3.656
_cell_length_b 4.628
_cell_length_c 5.456
_cell_angle_alpha 107.40
_cell_angle_beta 91.35
_cell_angle_gamma 110.68
_symmetry_space_group_name_H-M 'P 1'
_symmetry_Int_Tables_number 1
_symmetry_space_group_name_Hall 'P 1'
loop_
_atom_site_label
_atom_site_type_symbol
_atom_site_fract_x
_atom_site_fract_y
_atom_site_fract_z
_atom_site_occupancy
B1 B 0.000 0.000 0.000 1
B2 B 0.000 0.397 0.154 1
B3 B 0.259 0.999 0.295 1
B4 B 0.355 0.666 0.713 1
B5 B 0.671 0.323 0.853 1
B6 B 0.696 0.379 0.418 1
C1 C 0.028 0.016 0.547 1
C2 C 0.274 0.005 0.773 1
C3 C 0.400 0.699 0.214 1
C4 C 0.631 0.673 0.983 1
C5 C 0.653 0.708 0.443 1
C6 C 0.954 0.329 0.627 1
```

E_tot: -7.5405 eV per atom
Total moment: 0.00 μB per formula unit
Crystal system: triclinic
V: 6.795 Å³ per atom
Theoretical density: 2.788 Mg/m³
Formation energy: 410 meV/atom

The following is a DFT calculation (PBE) of crystalline BC at its relaxed geometry.

The structure in CIF format:
```
data_BC
_chemical_formula_sum 'B6 C6'
_cell_length_a 4.543
_cell_length_b 2.614
_cell_length_c 6.872
_cell_angle_alpha 90.00
_cell_angle_beta 91.34
_cell_angle_gamma 90.00
_symmetry_space_group_name_H-M 'P 1 m 1'
_symmetry_Int_Tables_number 6
_symmetry_space_group_name_Hall 'P -2y'
loop_
_atom_site_label
_atom_site_type_symbol
_atom_site_fract_x
_atom_site_fract_y
_atom_site_fract_z
_atom_site_occupancy
B1 B 0.000 0.000 0.000 1
B2 B 0.033 0.000 0.746 1
B3 B 0.162 0.500 0.348 1
B4 B 0.356 0.000 0.605 1
B5 B 0.496 0.500 0.760 1
B6 B 0.816 0.500 0.609 1
C1 C 0.178 0.500 0.012 1
C2 C 0.346 0.000 0.378 1
C3 C 0.505 0.500 0.990 1
C4 C 0.662 0.000 0.070 1
C5 C 0.662 0.000 0.298 1
C6 C 0.819 0.500 0.378 1
```

E_tot: -7.5462 eV per atom
Total moment: 0.00 μB per formula unit
Crystal system: monoclinic
V: 6.799 Å³ per atom
Theoretical density: 2.787 Mg/m³
Formation energy: 404 meV/atom

The following is a DFT calculation (PBE) of crystalline B7C5 at its relaxed geometry.

The structure in CIF format:
```
data_B7C5
_chemical_formula_sum 'B14 C10'
_cell_length_a 14.277
_cell_length_b 2.603
_cell_length_c 4.680
_cell_angle_alpha 90.00
_cell_angle_beta 106.56
_cell_angle_gamma 90.00
_symmetry_space_group_name_H-M 'C 1 m 1'
_symmetry_Int_Tables_number 8
_symmetry_space_group_name_Hall 'C -2y'
loop_
_atom_site_label
_atom_site_type_symbol
_atom_site_fract_x
_atom_site_fract_y
_atom_site_fract_z
_atom_site_occupancy
B1 B 0.000 0.000 0.000 1
B2 B 0.003 0.500 0.602 1
B3 B 0.119 0.000 0.240 1
B4 B 0.124 0.500 0.642 1
B5 B 0.182 0.000 0.900 1
B6 B 0.292 0.500 0.502 1
B7 B 0.449 0.500 0.340 1
C1 C 0.174 0.500 0.374 1
C2 C 0.298 0.000 0.023 1
C3 C 0.334 0.500 0.207 1
C4 C 0.337 0.000 0.743 1
C5 C 0.445 0.000 0.847 1
```

E_tot: -7.2695 eV per atom
Total moment: 0.00 μB per formula unit
Crystal system: monoclinic
V: 6.947 Å³ per atom
Theoretical density: 2.704 Mg/m³
Formation energy: 469 meV/atom

The following is a DFT calculation (PBE) of crystalline B3C at its relaxed geometry.

The structure in CIF format:
```
data_B3C
_chemical_formula_sum 'B12 C4'
_cell_length_a 4.097
_cell_length_b 4.097
_cell_length_c 7.142
_cell_angle_alpha 90.00
_cell_angle_beta 90.00
_cell_angle_gamma 90.00
_symmetry_space_group_name_H-M 'I -4 2 d'
_symmetry_Int_Tables_number 122
_symmetry_space_group_name_Hall 'I -4 2bw'
loop_
_atom_site_label
_atom_site_type_symbol
_atom_site_fract_x
_atom_site_fract_y
_atom_site_fract_z
_atom_site_occupancy
B1 B 0.000 0.000 0.000 1
B2 B 0.206 0.250 0.625 1
C1 C 0.000 0.000 0.500 1
```

E_tot: -6.6844 eV per atom
Total moment: 0.00 μB per formula unit
Crystal system: tetragonal
V: 7.494 Å³ per atom
Theoretical density: 2.462 Mg/m³
Formation energy: 630 meV/atom

The following is a DFT calculation (PBE) of crystalline B3C at its relaxed geometry.

The structure in CIF format:
```
data_B3C
_chemical_formula_sum 'B9 C3'
_cell_length_a 2.7698
_cell_length_b 2.7698
_cell_length_c 16.1577
_cell_angle_alpha 90.00
_cell_angle_beta 90.00
_cell_angle_gamma 120.00
_symmetry_space_group_name_H-M 'P 3 m 1'
_symmetry_Int_Tables_number 156
_symmetry_space_group_name_Hall 'P 3 -2"'
loop_
_atom_site_label
_atom_site_type_symbol
_atom_site_fract_x
_atom_site_fract_y
_atom_site_fract_z
_atom_site_occupancy
B1 B 0.0000 0.0000 0.0000 1
B2 B 0.0000 0.0000 0.1044 1
B3 B 0.0000 0.0000 0.5288 1
B4 B 0.0000 0.0000 0.6343 1
B5 B 0.3333 0.6667 0.1700 1
B6 B 0.3333 0.6667 0.6535 1
B7 B 0.3333 0.6667 0.8505 1
B8 B 0.6667 0.3333 0.2737 1
B9 B 0.6667 0.3333 0.5093 1
C1 C 0.3333 0.6667 0.2669 1
C2 C 0.6667 0.3333 0.8622 1
C3 C 0.6667 0.3333 0.9588 1
```

E_tot: -6.6765 eV per atom
Total moment: 0.00 μB per formula unit
Crystal system: trigonal
V: 8.946 Å³ per atom
Theoretical density: 2.062 Mg/m³
Formation energy: 638 meV/atom

The following is a DFT calculation (PBE) of crystalline B7C5 at its relaxed geometry.

The structure in CIF format:
```
data_B7C5
_chemical_formula_sum 'B14 C10'
_cell_length_a 14.026
_cell_length_b 2.587
_cell_length_c 4.810
_cell_angle_alpha 90.00
_cell_angle_beta 102.99
_cell_angle_gamma 90.00
_symmetry_space_group_name_H-M 'C 1 m 1'
_symmetry_Int_Tables_number 8
_symmetry_space_group_name_Hall 'C -2y'
loop_
_atom_site_label
_atom_site_type_symbol
_atom_site_fract_x
_atom_site_fract_y
_atom_site_fract_z
_atom_site_occupancy
B1 B 0.000 0.000 0.000 1
B2 B 0.003 0.500 0.412 1
B3 B 0.159 0.000 0.754 1
B4 B 0.288 0.000 0.547 1
B5 B 0.292 0.000 0.893 1
B6 B 0.337 0.500 0.160 1
B7 B 0.411 0.000 0.846 1
C1 C 0.114 0.500 0.531 1
C2 C 0.119 0.000 0.060 1
C3 C 0.154 0.500 0.248 1
C4 C 0.267 0.500 0.370 1
C5 C 0.451 0.500 0.286 1
```

E_tot: -7.3001 eV per atom
Total moment: 0.00 μB per formula unit
Crystal system: monoclinic
V: 7.087 Å³ per atom
Theoretical density: 2.650 Mg/m³
Formation energy: 438 meV/atom

The following is a DFT calculation (PBE) of crystalline BC at its relaxed geometry.

The structure in CIF format:
```
data_BC
_chemical_formula_sum 'B12 C12'
_cell_length_a 13.026
_cell_length_b 2.444
_cell_length_c 5.128
_cell_angle_alpha 90.00
_cell_angle_beta 101.86
_cell_angle_gamma 90.00
_symmetry_space_group_name_H-M 'C 1 m 1'
_symmetry_Int_Tables_number 8
_symmetry_space_group_name_Hall 'C -2y'
loop_
_atom_site_label
_atom_site_type_symbol
_atom_site_fract_x
_atom_site_fract_y
_atom_site_fract_z
_atom_site_occupancy
B1 B 0.000 0.000 0.000 1
B2 B 0.003 0.000 0.421 1
B3 B 0.082 0.000 0.764 1
B4 B 0.181 0.500 0.801 1
B5 B 0.396 0.000 0.926 1
B6 B 0.402 0.000 0.413 1
C1 C 0.101 0.000 0.268 1
C2 C 0.171 0.500 0.303 1
C3 C 0.248 0.500 0.104 1
C4 C 0.252 0.500 0.583 1
C5 C 0.313 0.000 0.128 1
C6 C 0.321 0.000 0.617 1
```

E_tot: -7.5568 eV per atom
Total moment: 0.00 μB per formula unit
Crystal system: monoclinic
V: 6.657 Å³ per atom
Theoretical density: 2.846 Mg/m³
Formation energy: 394 meV/atom